(1)
Material: CsSm2Cu3TeS4
Method: DFT, GGA-PBE
State: relaxed

a b c (Å): 7.4116 7.4116 17.7949
angles (deg): 90.00 90.00 147.76
Fractional coordinates of all 22 atoms:
Cs 0.0483 0.9517 0.7500
Cs 0.9517 0.0483 0.2500
Sm 0.1873 0.8127 0.0830
Sm 0.1873 0.8127 0.4170
Sm 0.8127 0.1873 0.5830
Sm 0.8127 0.1873 0.9170
Cu 0.3504 0.6496 0.7500
Cu 0.4144 0.5856 0.0360
Cu 0.4144 0.5856 0.4640
Cu 0.5856 0.4144 0.5360
Cu 0.5856 0.4144 0.9640
Cu 0.6496 0.3504 0.2500
Te 0.2445 0.7555 0.2500
Te 0.7555 0.2445 0.7500
S 0.1674 0.8326 0.5690
S 0.1674 0.8326 0.9310
S 0.4408 0.5592 0.6017
S 0.4408 0.5592 0.8983
S 0.5592 0.4408 0.1017
S 0.5592 0.4408 0.3983
S 0.8326 0.1674 0.0690
S 0.8326 0.1674 0.4310

DFT total energy, eV per atom: -4.837
ρ, g/cm³: 5.60
Space group: Cmcm (63)

=====

(2)
Material: Pr2Sm2CI2Br2Cl
Method: DFT, GGA-PBE
State: relaxed

a b c (Å): 9.7106 9.7106 8.2863
angles (deg): 102.75 102.75 23.48
Fractional coordinates of all 10 atoms:
Pr 0.1377 0.1377 0.0753
Pr 0.8623 0.8623 0.9247
Sm 0.5000 0.5000 0.2091
Sm 0.5000 0.5000 0.7909
C 0.0000 0.0000 0.0000
I 0.3307 0.3307 0.2017
I 0.6693 0.6693 0.7983
Br 0.3430 0.3430 0.6493
Br 0.6570 0.6570 0.3507
Cl 0.0000 0.0000 0.5000

DFT total energy, eV per atom: -4.993
ρ, g/cm³: 5.71
ΔE to the lowest computed polymorph, meV/atom: 10
Space group: C2/m (12)

=====

(3)
Material: LuZnFeSb
Method: DFT, GGA-PBE
State: relaxed

a b c (Å): 4.7656 4.7656 4.7656
angles (deg): 60.00 60.00 60.00
Fractional coordinates of all 4 atoms:
Lu 0.0000 0.0000 0.0000
Zn 0.7500 0.7500 0.7500
Fe 0.5000 0.5000 0.5000
Sb 0.2500 0.2500 0.2500

DFT total energy, eV per atom: -4.591
ρ, g/cm³: 9.07
ΔE to the lowest computed polymorph, meV/atom: 0
Space group: F-43m (216)

=====

(4)
Material: Cu2ICl3
Method: DFT, GGA-PBE
State: relaxed

a b c (Å): 6.8470 3.3786 7.1424
angles (deg): 90.00 116.84 90.00
Fractional coordinates of all 6 atoms:
Cu 0.0000 0.0000 0.0000
Cu 0.4783 0.5000 0.4994
I 0.7232 0.5000 0.0135
Cl 0.2169 0.5000 0.9922
Cl 0.2478 0.0000 0.4958
Cl 0.7062 0.0000 0.4968

DFT total energy, eV per atom: -2.793
ρ, g/cm³: 4.06
Space group: Pm (6)

=====

(5)
Material: PdC6S2
Method: DFT, GGA-PBE
State: relaxed

a b c (Å): 4.4504 6.0967 6.6050
angles (deg): 74.17 76.97 77.10
Fractional coordinates of all 9 atoms:
Pd 0.0000 0.0000 0.0000
C 0.3332 0.8566 0.1888
C 0.3729 0.1387 0.8200
C 0.4788 0.6635 0.3580
C 0.5212 0.3365 0.6420
C 0.6271 0.8613 0.1800
C 0.6668 0.1434 0.8112
S 0.4185 0.6344 0.6373
S 0.5815 0.3656 0.3627

DFT total energy, eV per atom: -6.552
ρ, g/cm³: 2.43
Space group: P-1 (2)

=====

(6)
Material: Rb2TbTmS4
Method: DFT, GGA-PBE
State: relaxed

a b c (Å): 4.0500 4.0500 15.3477
angles (deg): 90.00 90.00 120.00
Fractional coordinates of all 8 atoms:
Rb 0.3333 0.6667 0.2485
Rb 0.6667 0.3333 0.7515
Tb 0.0000 0.0000 0.5000
Tm 0.0000 0.0000 0.0000
S 0.3333 0.6667 0.5975
S 0.3333 0.6667 0.9059
S 0.6667 0.3333 0.0941
S 0.6667 0.3333 0.4025

DFT total energy, eV per atom: -5.294
ρ, g/cm³: 4.78
Space group: P-3m1 (164)

=====

(7)
Material: DyNi2Pt2
Method: DFT, GGA-PBE
State: relaxed

a b c (Å): 6.5951 6.5951 6.5951
angles (deg): 147.06 147.06 47.28
Fractional coordinates of all 5 atoms:
Dy 0.0000 0.0000 0.0000
Ni 0.2500 0.7500 0.5000
Ni 0.7500 0.2500 0.5000
Pt 0.3918 0.3918 0.0000
Pt 0.6082 0.6082 0.0000

DFT total energy, eV per atom: -6.064
ρ, g/cm³: 13.17
Energy relative to the elements, meV per atom: -494
Space group: I4/mmm (139)

=====

(8)
Material: Tb2GdTl3CuNi2
Method: DFT, GGA-PBE
State: relaxed

a b c (Å): 3.8588 7.5637 7.5637
angles (deg): 119.99 90.00 90.00
Fractional coordinates of all 9 atoms:
Tb 0.0000 0.2063 0.7937
Tb 0.0000 0.7937 0.2063
Gd 0.0000 0.3808 0.3808
Tl 0.5000 0.0542 0.0542
Tl 0.5000 0.5328 0.7940
Tl 0.5000 0.7940 0.5328
Cu 0.0000 0.7938 0.7938
Ni 0.5000 0.1267 0.4605
Ni 0.5000 0.4605 0.1267

DFT total energy, eV per atom: -4.318
ρ, g/cm³: 11.02
Space group: Amm2 (38)

=====

(9)
Material: Sr2Au2O5
Method: DFT, GGA-PBE
State: relaxed

a b c (Å): 4.1715 4.1715 7.1717
angles (deg): 90.00 90.00 90.00
Fractional coordinates of all 9 atoms:
Sr 0.0000 0.0000 0.0000
Sr 0.0000 0.0000 0.5000
Au 0.5000 0.5000 0.1986
Au 0.5000 0.5000 0.8014
O 0.0000 0.5000 0.2287
O 0.0000 0.5000 0.7713
O 0.5000 0.0000 0.2287
O 0.5000 0.0000 0.7713
O 0.5000 0.5000 0.5000

DFT total energy, eV per atom: -5.010
ρ, g/cm³: 8.64
ΔE to the lowest computed polymorph, meV/atom: 0
Space group: P4/mmm (123)

=====

(10)
Material: HoGe2B2
Method: DFT, GGA-PBE
State: relaxed

a b c (Å): 5.1167 5.1167 5.1167
angles (deg): 131.81 131.81 70.53
Fractional coordinates of all 5 atoms:
Ho 0.0000 0.0000 0.0000
Ge 0.3461 0.3461 0.0000
Ge 0.6539 0.6539 0.0000
B 0.2500 0.7500 0.5000
B 0.7500 0.2500 0.5000

DFT total energy, eV per atom: -5.170
ρ, g/cm³: 7.56
Space group: I4/mmm (139)

=====

(11)
Material: AcDyRe
Method: DFT, GGA-PBE
State: relaxed

a b c (Å): 4.9811 4.9811 4.9811
angles (deg): 60.00 60.00 60.00
Fractional coordinates of all 3 atoms:
Ac 0.0000 0.0000 0.0000
Dy 0.5000 0.5000 0.5000
Re 0.7500 0.7500 0.7500

DFT total energy, eV per atom: -6.652
ρ, g/cm³: 10.94
ΔE to the lowest computed polymorph, meV/atom: 0
Energy relative to the elements, meV per atom: 392
Space group: F-43m (216)

=====

(12)
Material: LaPr2
Method: DFT, GGA-PBE
State: relaxed

a b c (Å): 9.3185 9.3185 9.3185
angles (deg): 60.00 60.00 60.00
Fractional coordinates of all 6 atoms:
La 0.1250 0.1250 0.1250
La 0.8750 0.8750 0.8750
Pr 0.0000 0.0000 0.0000
Pr 0.0000 0.0000 0.5000
Pr 0.0000 0.5000 0.0000
Pr 0.5000 0.0000 0.0000

DFT total energy, eV per atom: -2.909
ρ, g/cm³: 2.44
ΔE to the lowest computed polymorph, meV/atom: 1703
Energy relative to the elements, meV per atom: 1915
Space group: Fd-3m (227)